{"formula": "YAsOs", "functional": "PBE", "state": "relaxed", "e_form_ev_per_atom": -0.45, "lattice_angstrom": [[4.363, 0.000, 0.000], [-2.182, 3.779, 0.000], [0.000, 0.000, 3.524]], "species": ["Y", "As", "Os"], "fractional_positions": [[0.000, 0.000, 0.000], [0.667, 0.333, 0.500], [0.333, 0.667, 0.500]]}

=====

{"formula": "SrPm2Pb", "functional": "PBE", "state": "relaxed", "relative_energy_mev_per_atom": 136, "e_form_ev_per_atom": -0.08, "lattice_angstrom": [[0.000, 4.037, 4.037], [4.037, 0.000, 4.037], [4.037, 4.037, 0.000]], "species": ["Sr", "Pm", "Pm", "Pb"], "fractional_positions": [[0.000, 0.000, 0.000], [0.250, 0.250, 0.250], [0.750, 0.750, 0.750], [0.500, 0.500, 0.500]]}